Density functional theory data (PBE) for a relaxed structure of Ga5Bi3Au12.

## Properties
Calculated density, g cm⁻³: 11.26
Volume, Å³/cell: 3939
E, eV for the cell shown: -516.34
Calculated formation energy, eV/atom: 0.08

Cell lengths 15.7931, 15.7931, 15.7931 Å; angles 90.00, 90.00, 90.00 degrees
Space group Ia-3d (No. 230)
Asymmetric unit:
Ga  0.0000  0.0000  0.0000
Ga  0.0000  0.2500  0.3750
Bi  0.0000  0.2500  0.1250
Au  0.0229  0.0692  0.6467